First-principles (PBE) data for a geometry-optimized Pm2DyTmBi4 structure, as listed in Alexandria.

Cell lengths 7.819, 4.521, 7.826 Å; angles 90.00, 109.49, 90.00 degrees
Fractional positions:
Pm 0.000 0.000 0.000
Pm 0.000 0.500 0.500
Dy 0.500 0.000 0.500
Tm 0.500 0.500 0.000
Bi 0.258 0.500 0.251
Bi 0.259 0.000 0.754
Bi 0.741 0.000 0.246
Bi 0.742 0.500 0.749

Output
Its total energy is -41.122 eV per cell. The calculated formation energy comes out at -878 meV/atom. The calculated volume comes out at 32.60 A^3/atom. Its crystal system is monoclinic.

---

First-principles (PBE) data for a geometry-optimized Nd7TlCo2 structure, as listed in Alexandria.

Cell lengths 8.264, 8.264, 5.091 Å; angles 90.00, 90.00, 111.96 degrees
Fractional positions:
Nd 0.000 0.000 0.000
Nd 0.188 0.450 0.000
Nd 0.204 0.796 0.500
Nd 0.450 0.188 0.000
Nd 0.550 0.812 0.000
Nd 0.796 0.204 0.500
Nd 0.812 0.550 0.000
Tl 0.500 0.500 0.500
Co 0.201 0.799 0.000
Co 0.799 0.201 0.000

Output
Its total energy is -49.767 eV per cell. The calculated formation energy comes out at 19 meV/atom. The calculated volume comes out at 32.25 A^3/atom. Its crystal system is orthorhombic.

---

Question: Which of these has the lowest calculated formation energy?
Answer: Pm2DyTmBi4